1.
Below is crystalline RbI2Cl at its relaxed geometry, with properties calculated at the PBE-GGA level.

Structure (CIF):
```
data_RbI2Cl
_chemical_formula_sum 'Rb1 I2 Cl1'
_cell_length_a 4.7242
_cell_length_b 4.7242
_cell_length_c 8.9336
_cell_angle_alpha 90.00
_cell_angle_beta 90.00
_cell_angle_gamma 90.00
_space_group_name_H-M_alt 'P 1'
_space_group_IT_number 1
loop_
_space_group_symop_operation_xyz
'x,y,z'
loop_
_atom_site_label
_atom_site_type_symbol
_atom_site_fract_x
_atom_site_fract_y
_atom_site_fract_z
Cl1 Cl 0.5000 0.5000 0.0000
I1 I 0.5000 0.5000 0.6545
I2 I 0.5000 0.5000 0.3455
Rb1 Rb 0.0000 0.0000 0.0000
```

Calculated values
Symmetry: P4/mmm (123)
Energy above the most stable polymorph in this dataset in meV per atom: 0
Energy relative to the elements, uncorrected in eV/atom: -0.928

***

2.
Below is crystalline Sm3Y12In at its relaxed geometry, with properties calculated at the PBE-GGA level.

Structure (CIF):
```
data_Sm3Y12In
_chemical_formula_sum 'Sm3 Y12 In1'
_cell_length_a 4.9996
_cell_length_b 4.9996
_cell_length_c 20.3295
_cell_angle_alpha 90.00
_cell_angle_beta 90.00
_cell_angle_gamma 90.00
_space_group_name_H-M_alt 'P 1'
_space_group_IT_number 1
loop_
_space_group_symop_operation_xyz
'x,y,z'
loop_
_atom_site_label
_atom_site_type_symbol
_atom_site_fract_x
_atom_site_fract_y
_atom_site_fract_z
In1 In 0.0000 0.0000 0.0000
Y1 Y 0.5000 0.0000 0.8806
Sm1 Sm 0.0000 0.0000 0.5000
Y2 Y 0.5000 0.0000 0.3731
Y3 Y 0.0000 0.5000 0.6269
Y4 Y 0.5000 0.5000 0.0000
Y5 Y 0.0000 0.5000 0.1194
Sm2 Sm 0.0000 0.0000 0.2482
Y6 Y 0.5000 0.5000 0.5000
Y7 Y 0.0000 0.5000 0.3731
Y8 Y 0.0000 0.5000 0.8806
Y9 Y 0.5000 0.5000 0.2432
Sm3 Sm 0.0000 0.0000 0.7518
Y10 Y 0.5000 0.0000 0.6269
Y11 Y 0.5000 0.0000 0.1194
Y12 Y 0.5000 0.5000 0.7568
```

Calculated values
Symmetry: P4/mmm (123)
ΔE_f in eV/atom: -0.043

***

3.
Below is crystalline Sc6TiS8 at its relaxed geometry, with properties calculated at the PBE-GGA level.

Structure (CIF):
```
data_Sc6TiS8
_chemical_formula_sum 'Sc6 Ti1 S8'
_cell_length_a 7.2316
_cell_length_b 7.2316
_cell_length_c 7.2316
_cell_angle_alpha 96.71
_cell_angle_beta 96.71
_cell_angle_gamma 96.71
_space_group_name_H-M_alt 'P 1'
_space_group_IT_number 1
loop_
_space_group_symop_operation_xyz
'x,y,z'
loop_
_atom_site_label
_atom_site_type_symbol
_atom_site_fract_x
_atom_site_fract_y
_atom_site_fract_z
S1 S 0.3181 0.6044 0.8516
S2 S 0.3956 0.1484 0.6819
Sc1 Sc 0.8124 0.6236 0.4479
Sc2 Sc 0.6236 0.4479 0.8124
Sc3 Sc 0.1876 0.3764 0.5521
S3 S 0.1484 0.6819 0.3956
Sc4 Sc 0.4479 0.8124 0.6236
S4 S 0.2218 0.2218 0.2218
Sc5 Sc 0.5521 0.1876 0.3764
S5 S 0.8516 0.3181 0.6044
Sc6 Sc 0.3764 0.5521 0.1876
S6 S 0.6044 0.8516 0.3181
Ti1 Ti 0.0000 0.0000 0.0000
S7 S 0.6819 0.3956 0.1484
S8 S 0.7782 0.7782 0.7782
```

Calculated values
Symmetry: R-3 (148)
Energy above the most stable polymorph in this dataset in meV per atom: 343
Energy relative to the elements, uncorrected in eV/atom: -1.504

***

4.
Below is crystalline K2HgSbPt at its relaxed geometry, with properties calculated at the PBE-GGA level.

Structure (CIF):
```
data_K2HgSbPt
_chemical_formula_sum 'K2 Hg1 Sb1 Pt1'
_cell_length_a 6.3758
_cell_length_b 6.3758
_cell_length_c 4.9626
_cell_angle_alpha 90.00
_cell_angle_beta 90.00
_cell_angle_gamma 90.00
_space_group_name_H-M_alt 'P 1'
_space_group_IT_number 1
loop_
_space_group_symop_operation_xyz
'x,y,z'
loop_
_atom_site_label
_atom_site_type_symbol
_atom_site_fract_x
_atom_site_fract_y
_atom_site_fract_z
Pt1 Pt 0.0000 0.0000 0.0000
K1 K 0.5000 0.0000 0.0000
K2 K 0.0000 0.5000 0.0000
Sb1 Sb 0.0000 0.0000 0.5000
Hg1 Hg 0.5000 0.5000 0.5000
```

Calculated values
Symmetry: P4/mmm (123)
Energy relative to the elements, uncorrected in eV/atom: -0.275

***

5.
Below is crystalline Ba8SiN2 at its relaxed geometry, with properties calculated at the PBE-GGA level.

Structure (CIF):
```
data_Ba8SiN2
_chemical_formula_sum 'Ba8 Si1 N2'
_cell_length_a 7.3462
_cell_length_b 9.6258
_cell_length_c 9.6258
_cell_angle_alpha 61.84
_cell_angle_beta 86.34
_cell_angle_gamma 86.34
_space_group_name_H-M_alt 'P 1'
_space_group_IT_number 1
loop_
_space_group_symop_operation_xyz
'x,y,z'
loop_
_atom_site_label
_atom_site_type_symbol
_atom_site_fract_x
_atom_site_fract_y
_atom_site_fract_z
Ba1 Ba 0.2568 0.3199 0.3199
N1 N 0.6257 0.8233 0.8233
Ba2 Ba 0.2749 0.8311 0.8311
Ba3 Ba 0.7498 0.6955 0.1000
Ba4 Ba 0.7498 0.1000 0.6955
Ba5 Ba 0.7432 0.6801 0.6801
Ba6 Ba 0.7251 0.1689 0.1689
Ba7 Ba 0.2502 0.3045 0.9000
N2 N 0.3743 0.1767 0.1767
Si1 Si 0.0000 0.0000 0.0000
Ba8 Ba 0.2502 0.9000 0.3045
```

Calculated values
Symmetry: C2/m (12)
Energy relative to the elements, uncorrected in eV/atom: -0.239

***

6.
Below is crystalline ThPaAu2 at its relaxed geometry, with properties calculated at the PBE-GGA level.

Structure (CIF):
```
data_ThPaAu2
_chemical_formula_sum 'Th1 Pa1 Au2'
_cell_length_a 5.1812
_cell_length_b 5.1812
_cell_length_c 5.1812
_cell_angle_alpha 60.00
_cell_angle_beta 60.00
_cell_angle_gamma 60.00
_space_group_name_H-M_alt 'P 1'
_space_group_IT_number 1
loop_
_space_group_symop_operation_xyz
'x,y,z'
loop_
_atom_site_label
_atom_site_type_symbol
_atom_site_fract_x
_atom_site_fract_y
_atom_site_fract_z
Th1 Th 0.5000 0.5000 0.5000
Au1 Au 0.7500 0.7500 0.7500
Au2 Au 0.2500 0.2500 0.2500
Pa1 Pa 0.0000 0.0000 0.0000
```

Calculated values
Symmetry: Fm-3m (225)
Energy above the most stable polymorph in this dataset in meV per atom: 47
ΔE_f in eV/atom: -0.336

***

7.
Below is crystalline Tm2ZrSn at its relaxed geometry, with properties calculated at the PBE-GGA level.

Structure (CIF):
```
data_Tm2ZrSn
_chemical_formula_sum 'Tm2 Zr1 Sn1'
_cell_length_a 3.4369
_cell_length_b 3.4369
_cell_length_c 10.5607
_cell_angle_alpha 80.64
_cell_angle_beta 80.64
_cell_angle_gamma 60.00
_space_group_name_H-M_alt 'P 1'
_space_group_IT_number 1
loop_
_space_group_symop_operation_xyz
'x,y,z'
loop_
_atom_site_label
_atom_site_type_symbol
_atom_site_fract_x
_atom_site_fract_y
_atom_site_fract_z
Tm1 Tm 0.7495 0.7495 0.7514
Sn1 Sn 0.0000 0.0000 0.0000
Zr1 Zr 0.5000 0.5000 0.5000
Tm2 Tm 0.2505 0.2505 0.2486
```

Calculated values
Symmetry: R-3m (166)
Energy above the most stable polymorph in this dataset in meV per atom: 126
ΔE_f in eV/atom: -0.204

***

8.
Below is crystalline K2NaTl2 at its relaxed geometry, with properties calculated at the PBE-GGA level.

Structure (CIF):
```
data_K2NaTl2
_chemical_formula_sum 'K4 Na2 Tl4'
_cell_length_a 10.4671
_cell_length_b 10.4671
_cell_length_c 3.7145
_cell_angle_alpha 90.00
_cell_angle_beta 90.00
_cell_angle_gamma 90.00
_space_group_name_H-M_alt 'P 1'
_space_group_IT_number 1
loop_
_space_group_symop_operation_xyz
'x,y,z'
loop_
_atom_site_label
_atom_site_type_symbol
_atom_site_fract_x
_atom_site_fract_y
_atom_site_fract_z
Tl1 Tl 0.1132 0.6132 0.5000
Tl2 Tl 0.8868 0.3868 0.5000
Na1 Na 0.0000 0.0000 0.0000
Na2 Na 0.5000 0.5000 0.0000
Tl3 Tl 0.6132 0.8868 0.5000
K1 K 0.1791 0.3209 0.0000
K2 K 0.3209 0.8209 0.0000
K3 K 0.6791 0.1791 0.0000
Tl4 Tl 0.3868 0.1132 0.5000
K4 K 0.8209 0.6791 0.0000
```

Calculated values
Symmetry: P4/mbm (127)
Energy above the most stable polymorph in this dataset in meV per atom: 82
ΔE_f in eV/atom: 0.045

***

9.
Below is crystalline CuAgAsPd at its relaxed geometry, with properties calculated at the PBE-GGA level.

Structure (CIF):
```
data_CuAgAsPd
_chemical_formula_sum 'Cu1 Ag1 As1 Pd1'
_cell_length_a 4.4769
_cell_length_b 4.4769
_cell_length_c 4.4769
_cell_angle_alpha 60.00
_cell_angle_beta 60.00
_cell_angle_gamma 60.00
_space_group_name_H-M_alt 'P 1'
_space_group_IT_number 1
loop_
_space_group_symop_operation_xyz
'x,y,z'
loop_
_atom_site_label
_atom_site_type_symbol
_atom_site_fract_x
_atom_site_fract_y
_atom_site_fract_z
Ag1 Ag 0.5000 0.5000 0.5000
Cu1 Cu 0.2500 0.2500 0.2500
Pd1 Pd 0.7500 0.7500 0.7500
As1 As 0.0000 0.0000 0.0000
```

Calculated values
Symmetry: F-43m (216)
ΔE_f in eV/atom: -0.005

***

10.
Below is crystalline Sc3GeRu at its relaxed geometry, with properties calculated at the PBE-GGA level.

Structure (CIF):
```
data_Sc3GeRu
_chemical_formula_sum 'Sc3 Ge1 Ru1'
_cell_length_a 4.9446
_cell_length_b 4.9446
_cell_length_c 4.9446
_cell_angle_alpha 90.00
_cell_angle_beta 90.00
_cell_angle_gamma 90.00
_space_group_name_H-M_alt 'P 1'
_space_group_IT_number 1
loop_
_space_group_symop_operation_xyz
'x,y,z'
loop_
_atom_site_label
_atom_site_type_symbol
_atom_site_fract_x
_atom_site_fract_y
_atom_site_fract_z
Ge1 Ge 0.0000 0.0000 0.0000
Sc1 Sc 0.0000 0.5000 0.0000
Sc2 Sc 0.0000 0.0000 0.5000
Sc3 Sc 0.5000 0.0000 0.0000
Ru1 Ru 0.5000 0.5000 0.5000
```

Calculated values
Symmetry: Pm-3m (221)
Energy above the most stable polymorph in this dataset in meV per atom: 493
ΔE_f in eV/atom: 0.412

***

11.
Below is crystalline BaYHS2 at its relaxed geometry, with properties calculated at the PBE-GGA level.

Structure (CIF):
```
data_BaYHS2
_chemical_formula_sum 'Ba1 Y1 H1 S2'
_cell_length_a 5.3391
_cell_length_b 5.3391
_cell_length_c 4.2922
_cell_angle_alpha 90.00
_cell_angle_beta 90.00
_cell_angle_gamma 90.00
_space_group_name_H-M_alt 'P 1'
_space_group_IT_number 1
loop_
_space_group_symop_operation_xyz
'x,y,z'
loop_
_atom_site_label
_atom_site_type_symbol
_atom_site_fract_x
_atom_site_fract_y
_atom_site_fract_z
S1 S 0.0000 0.5000 0.0000
H1 H 0.0000 0.0000 0.5000
Y1 Y 0.0000 0.0000 0.0000
S2 S 0.5000 0.0000 0.0000
Ba1 Ba 0.5000 0.5000 0.5000
```

Calculated values
Symmetry: P4/mmm (123)
Calculated total energy in eV per atom: -5.65

***

12.
Below is crystalline SnGeF4 at its relaxed geometry, with properties calculated at the PBE-GGA level.

Structure (CIF):
```
data_SnGeF4
_chemical_formula_sum 'Sn2 Ge2 F8'
_cell_length_a 6.6560
_cell_length_b 6.6560
_cell_length_c 6.6560
_cell_angle_alpha 110.65
_cell_angle_beta 110.65
_cell_angle_gamma 107.14
_space_group_name_H-M_alt 'P 1'
_space_group_IT_number 1
loop_
_space_group_symop_operation_xyz
'x,y,z'
loop_
_atom_site_label
_atom_site_type_symbol
_atom_site_fract_x
_atom_site_fract_y
_atom_site_fract_z
F1 F 0.3105 0.5095 0.8010
F2 F 0.7794 0.4606 0.6813
Ge1 Ge 0.2121 0.2121 0.0000
F3 F 0.2595 0.5605 0.3010
F4 F 0.2595 0.9585 0.6990
Sn1 Sn 0.7101 0.7101 0.0000
F5 F 0.2106 0.0294 0.1813
Sn2 Sn 0.4601 0.9601 0.5000
F6 F 0.7794 0.0981 0.3187
F7 F 0.7085 0.5095 0.1990
F8 F 0.8481 0.0294 0.8187
Ge2 Ge 0.9621 0.4621 0.5000
```

Calculated values
Symmetry: I4_1md (109)
Energy above the most stable polymorph in this dataset in meV per atom: 66
Energy relative to the elements, uncorrected in eV/atom: -2.105